Density functional theory data (PBE-GGA) for an optimized crystal structure of MnAlBr2.

The value obtained for the raw formation energy is -218 meV/atom. For the distance to the lowest polymorph of the same formula, the calculation gives 0.1346 eV/atom. As for the total magnetization: 0.6423 μB/atom. As for the electronic total energy: -4.2821 eV per atom.

Geometry as extended XYZ:
```
4
Lattice="3.5097 0.0000 0.0000 0.0000 3.5868 0.0586 0.0000 1.6561 7.9206" Properties=species:S:1:pos:R:3 pbc="T T T"
Br 0.0000 1.8889 7.1120
Br 1.7549 1.9692 2.8297
Al 1.7549 3.7241 5.2605
Mn 0.0000 1.9384 4.6871
```